Ba2CaZr: optimized geometry, PBE-GGA.

a = 6.744 Å, b = 6.744 Å, c = 6.744 Å
α = 130.85°, β = 130.85°, γ = 72.05°
Site moments in Bohr magnetons follow the coordinates.
Fractional positions:
1 Ba 0.000 0.000 0.000  0.09
2 Ba 0.500 0.500 0.000  0.09
3 Ca 0.250 0.750 0.500  0.03
4 Zr 0.750 0.250 0.500  1.14

**Space group**: I4/mmm, No. 139
**Formation energy**: 0.532 eV per atom
**DFT total energy**: -3.0663 eV per atom
**Distance to the lowest polymorph of the same formula**: 0.129 eV per atom

---

ScGa4Ir5: optimized geometry, PBE-GGA.

a = 3.023 Å, b = 3.023 Å, c = 16.228 Å
α = 90.00°, β = 90.00°, γ = 90.00°
Fractional positions:
1 Ir 0.500 0.500 0.690
2 Ir 0.500 0.500 0.117
3 Ir 0.500 0.500 0.500
4 Ir 0.500 0.500 0.310
5 Ir 0.500 0.500 0.883
6 Ga 0.000 0.000 0.208
7 Ga 0.000 0.000 0.597
8 Ga 0.000 0.000 0.403
9 Ga 0.000 0.000 0.792
10 Sc 0.000 0.000 0.000

**Space group**: P4/mmm, No. 123
**Formation energy**: -0.537 eV per atom
**DFT total energy**: -6.8111 eV per atom